A geometry-optimized InGeIr2 structure, computed with PBE.

extended XYZ file:
```
8
Lattice="-5.3220 -1.4900 -2.6814 -2.4256 -1.2432 5.5050 -5.3974 3.3618 1.8083" Properties=species:S:1:pos:R:3 pbc="T T T"
Ir -10.7379 0.1755 3.6242
Ir -7.0426 1.4506 2.6177
Ir -4.7829 -0.1914 -0.4370
Ir -3.7265 -0.1777 3.4588
Ge -3.8738 -1.3666 1.4118
Ge -5.8484 0.3760 4.3626
In 0.0000 0.0000 0.0000
In -7.2966 0.2526 0.2693
```

Output
V   23.5 Å³ per atom
DFT formation energy   0.53 eV per atom

A geometry-optimized InGeIr2 structure, computed with PBE.

extended XYZ file:
```
4
Lattice="2.9986 0.0000 0.0000 0.0000 2.9986 0.0000 0.0000 0.0000 7.1336" Properties=species:S:1:pos:R:3 pbc="T T T"
Ge 1.4993 1.4993 0.0000
In 1.4993 1.4993 3.5668
Ir 0.0000 0.0000 5.5865
Ir 0.0000 0.0000 1.5471
```

Output
V   16.0 Å³ per atom
DFT formation energy   -0.11 eV per atom

A geometry-optimized In2GeIr structure, computed with PBE.

extended XYZ file:
```
8
Lattice="-2.9814 -8.6880 -2.1267 2.8765 -3.0540 8.4434 -2.1526 -5.3698 4.0551" Properties=species:S:1:pos:R:3 pbc="T T T"
Ir -2.5932 -9.9644 2.5434
Ir 0.0000 0.0000 0.0000
In -2.0036 -8.0592 4.3834
In -2.4045 -8.2106 0.4814
In 1.2495 -3.2807 6.2837
In -1.3564 -14.6729 9.5952
Ge -0.0524 -5.8710 3.1583
Ge 0.3357 -7.1474 7.8284
```

Output
V   26.0 Å³ per atom
DFT formation energy   0.05 eV per atom

A geometry-optimized In2GeIr2 structure, computed with PBE.

extended XYZ file:
```
10
Lattice="-6.9674 -0.8211 3.2805 3.1541 -4.2874 5.6259 0.4882 2.5608 1.6779" Properties=species:S:1:pos:R:3 pbc="T T T"
Ir -3.9006 -3.4750 6.4386
Ir -4.0450 -1.1625 2.9512
Ir 0.0873 -1.6335 2.4677
Ir 0.2317 -3.9460 5.9552
Ge 0.0000 0.0000 0.0000
Ge -1.9066 -2.5542 4.4532
In -1.6169 -2.8930 7.7502
In -4.5693 -0.9115 5.5848
In -1.7082 0.3454 2.8340
In 1.2442 -1.6362 4.9994
```

Output
V   18.6 Å³ per atom
DFT formation energy   0.07 eV per atom

- Which value of DFT formation energy does entry 3 give?
  0.05 eV per atom

- Which value of DFT formation energy does entry 1 give?
  0.53 eV per atom